Crystalline Bi5Rh3S at its relaxed geometry. Source: Alexandria via LeMat-Bulk, functional PBE-GGA.

a b c (Å): 7.520 7.520 9.056
angles (deg): 106.71 106.71 70.34
Fractional coordinates of all 18 atoms:
Bi 0.035 0.035 0.339
Bi 0.086 0.559 0.347
Bi 0.190 0.810 0.000
Bi 0.264 0.264 0.945
Bi 0.441 0.914 0.653
Bi 0.559 0.086 0.347
Bi 0.736 0.736 0.055
Bi 0.810 0.190 0.000
Bi 0.914 0.441 0.653
Bi 0.965 0.965 0.661
Rh 0.184 0.184 0.180
Rh 0.272 0.272 0.524
Rh 0.500 0.500 0.000
Rh 0.500 0.500 0.500
Rh 0.728 0.728 0.476
Rh 0.816 0.816 0.820
S 0.446 0.446 0.723
S 0.554 0.554 0.277

Calculated values
Fermi-level density of states   11.5 states/eV per cell
Space-group type   No. 12
Raw formation energy   -0.90 eV/f.u.
Raw total energy   -5.165 eV per atom

---

Crystalline BiRhS2 at its relaxed geometry. Source: Alexandria via LeMat-Bulk, functional PBE-GGA.

a b c (Å): 13.816 13.816 3.808
angles (deg): 90.00 90.00 166.61
Fractional coordinates of all 8 atoms:
Bi 0.051 0.949 0.750
Bi 0.949 0.051 0.250
Rh 0.306 0.694 0.750
Rh 0.694 0.306 0.250
S 0.128 0.872 0.250
S 0.218 0.782 0.750
S 0.782 0.218 0.250
S 0.872 0.128 0.750

Calculated values
Fermi-level density of states   3.3 states/eV per cell
Space-group type   No. 63
Raw formation energy   -0.08 eV/f.u.
Raw total energy   -4.893 eV per atom

---

Crystalline BiRhS at its relaxed geometry. Source: Alexandria via LeMat-Bulk, functional PBE-GGA.

a b c (Å): 3.378 3.378 7.036
angles (deg): 90.00 90.00 120.00
Fractional coordinates of all 3 atoms:
Bi 0.000 0.000 0.000
Rh 0.667 0.333 0.335
S 0.333 0.667 0.501

Calculated values
Fermi-level density of states   0.9 states/eV per cell
Space-group type   No. 156
Raw formation energy   -0.78 eV/f.u.
Raw total energy   -5.380 eV per atom

---

Crystalline BiRhS2 at its relaxed geometry. Source: Alexandria via LeMat-Bulk, functional PBE-GGA.

a b c (Å): 3.482 6.053 8.079
angles (deg): 88.39 77.83 89.86
Fractional coordinates of all 8 atoms:
Bi 0.000 0.000 0.000
Bi 0.322 0.509 0.362
Rh 0.242 0.895 0.522
Rh 0.592 0.423 0.828
S 0.000 0.539 0.014
S 0.174 0.284 0.661
S 0.655 0.777 0.701
S 0.830 0.037 0.340

Calculated values
Fermi-level density of states   1.9 states/eV per cell
Space-group type   No. 1
Raw formation energy   -1.21 eV/f.u.
Raw total energy   -5.175 eV per atom

---

Crystalline BiRhS2 at its relaxed geometry. Source: Alexandria via LeMat-Bulk, functional PBE-GGA.

a b c (Å): 3.596 6.206 7.389
angles (deg): 90.00 90.69 90.00
Fractional coordinates of all 8 atoms:
Bi 0.024 0.000 0.309
Bi 0.976 0.500 0.691
Rh 0.249 0.127 0.847
Rh 0.751 0.627 0.153
S 0.251 0.510 0.347
S 0.254 0.754 0.969
S 0.746 0.254 0.031
S 0.749 0.010 0.653

Calculated values
Fermi-level density of states   3.2 states/eV per cell
Space-group type   No. 4
Raw formation energy   -1.20 eV/f.u.
Raw total energy   -5.172 eV per atom

---

Crystalline BiRh3S2 at its relaxed geometry. Source: Alexandria via LeMat-Bulk, functional PBE-GGA.

a b c (Å): 7.970 7.970 7.970
angles (deg): 151.64 151.64 40.54
Fractional coordinates of all 6 atoms:
Bi 0.000 0.000 0.000
Rh 0.250 0.750 0.500
Rh 0.500 0.500 0.000
Rh 0.750 0.250 0.500
S 0.342 0.342 0.000
S 0.658 0.658 0.000

Calculated values
Fermi-level density of states   6.7 states/eV per cell
Space-group type   No. 139
Raw formation energy   -0.86 eV/f.u.
Raw total energy   -5.841 eV per atom

---

Crystalline BiRhS2 at its relaxed geometry. Source: Alexandria via LeMat-Bulk, functional PBE-GGA.

a b c (Å): 3.568 3.568 8.054
angles (deg): 106.82 106.82 58.39
Fractional coordinates of all 4 atoms:
Bi 0.000 0.000 0.000
Rh 0.000 0.000 0.500
S 0.396 0.396 0.664
S 0.604 0.604 0.336

Calculated values
Fermi-level density of states   1.4 states/eV per cell
Space-group type   No. 12
Raw formation energy   -1.06 eV/f.u.
Raw total energy   -5.137 eV per atom

---

Crystalline BiRhS at its relaxed geometry. Source: Alexandria via LeMat-Bulk, functional PBE-GGA.

a b c (Å): 6.214 6.214 6.214
angles (deg): 90.00 90.00 90.00
Fractional coordinates of all 12 atoms:
Bi 0.129 0.371 0.629
Bi 0.371 0.629 0.129
Bi 0.629 0.129 0.371
Bi 0.871 0.871 0.871
Rh 0.023 0.977 0.477
Rh 0.477 0.023 0.977
Rh 0.523 0.523 0.523
Rh 0.977 0.477 0.023
S 0.119 0.119 0.119
S 0.381 0.881 0.619
S 0.619 0.381 0.881
S 0.881 0.619 0.381

Calculated values
Fermi-level density of states   0.0 states/eV per cell
Space-group type   No. 198
Raw formation energy   -1.21 eV/f.u.
Raw total energy   -5.524 eV per atom

---

Crystalline BiRhS2 at its relaxed geometry. Source: Alexandria via LeMat-Bulk, functional PBE-GGA.

a b c (Å): 3.849 3.849 6.869
angles (deg): 90.00 90.00 120.00
Fractional coordinates of all 4 atoms:
Bi 0.000 0.000 0.000
Rh 0.333 0.667 0.419
S 0.333 0.667 0.756
S 0.667 0.333 0.329

Calculated values
Fermi-level density of states   2.9 states/eV per cell
Space-group type   No. 156
Raw formation energy   -0.50 eV/f.u.
Raw total energy   -4.998 eV per atom

---

Crystalline BiRhS2 at its relaxed geometry. Source: Alexandria via LeMat-Bulk, functional PBE-GGA.

a b c (Å): 6.434 8.758 6.208
angles (deg): 90.00 90.00 90.00
Fractional coordinates of all 16 atoms:
Bi 0.067 0.101 0.000
Bi 0.433 0.601 0.500
Bi 0.567 0.399 0.000
Bi 0.933 0.899 0.500
Rh 0.062 0.416 0.545
Rh 0.438 0.916 0.045
Rh 0.562 0.084 0.545
Rh 0.938 0.584 0.045
S 0.127 0.380 0.182
S 0.201 0.749 0.190
S 0.299 0.249 0.690
S 0.373 0.880 0.682
S 0.627 0.120 0.182
S 0.701 0.751 0.190
S 0.799 0.251 0.690
S 0.873 0.620 0.682

Calculated values
Fermi-level density of states   2.0 states/eV per cell
Space-group type   No. 33
Raw formation energy   -0.71 eV/f.u.
Raw total energy   -5.049 eV per atom

---

Crystalline BiRh2S at its relaxed geometry. Source: Alexandria via LeMat-Bulk, functional PBE-GGA.

a b c (Å): 7.796 7.796 7.796
angles (deg): 143.30 143.30 52.87
Fractional coordinates of all 8 atoms:
Bi 0.000 0.000 0.000
Bi 0.750 0.250 0.500
Rh 0.224 0.625 0.099
Rh 0.375 0.474 0.599
Rh 0.526 0.125 0.901
Rh 0.875 0.776 0.401
S 0.250 0.750 0.500
S 0.500 0.500 0.000

Calculated values
Fermi-level density of states   4.1 states/eV per cell
Space-group type   No. 122
Raw formation energy   -0.64 eV/f.u.
Raw total energy   -5.838 eV per atom

---

Crystalline BiRhS2 at its relaxed geometry. Source: Alexandria via LeMat-Bulk, functional PBE-GGA.

a b c (Å): 6.142 3.533 15.509
angles (deg): 90.00 90.00 90.00
Fractional coordinates of all 16 atoms:
Bi 0.003 0.250 0.144
Bi 0.497 0.750 0.644
Bi 0.503 0.250 0.356
Bi 0.997 0.750 0.856
Rh 0.122 0.250 0.592
Rh 0.378 0.750 0.092
Rh 0.622 0.250 0.908
Rh 0.878 0.750 0.408
S 0.021 0.250 0.323
S 0.220 0.750 0.493
S 0.280 0.250 0.993
S 0.479 0.750 0.823
S 0.521 0.250 0.177
S 0.720 0.750 0.007
S 0.780 0.250 0.507
S 0.979 0.750 0.677

Calculated values
Fermi-level density of states   7.0 states/eV per cell
Space-group type   No. 62
Raw formation energy   -1.12 eV/f.u.
Raw total energy   -5.151 eV per atom

---

Crystalline Bi3Rh4S at its relaxed geometry. Source: Alexandria via LeMat-Bulk, functional PBE-GGA.

a b c (Å): 8.263 7.412 5.576
angles (deg): 90.00 90.00 90.00
Fractional coordinates of all 16 atoms:
Bi 0.000 0.205 0.000
Bi 0.240 0.619 0.013
Bi 0.260 0.381 0.513
Bi 0.500 0.795 0.500
Bi 0.740 0.381 0.513
Bi 0.760 0.619 0.013
Rh 0.000 0.151 0.493
Rh 0.000 0.847 0.152
Rh 0.218 0.952 0.759
Rh 0.282 0.048 0.259
Rh 0.500 0.153 0.652
Rh 0.500 0.849 0.993
Rh 0.718 0.048 0.259
Rh 0.782 0.952 0.759
S 0.000 0.834 0.554
S 0.500 0.166 0.054

Calculated values
Fermi-level density of states   9.6 states/eV per cell
Space-group type   No. 31
Raw formation energy   -1.35 eV/f.u.
Raw total energy   -5.816 eV per atom

---

Crystalline BiRhS2 at its relaxed geometry. Source: Alexandria via LeMat-Bulk, functional PBE-GGA.

a b c (Å): 3.491 7.946 6.889
angles (deg): 90.00 117.95 90.00
Fractional coordinates of all 8 atoms:
Bi 0.000 0.188 0.000
Bi 0.000 0.812 0.500
Rh 0.645 0.346 0.592
Rh 0.645 0.654 0.092
S 0.029 0.169 0.465
S 0.029 0.831 0.965
S 0.276 0.487 0.230
S 0.276 0.513 0.730

Calculated values
Fermi-level density of states   4.8 states/eV per cell
Space-group type   No. 7
Raw formation energy   -1.23 eV/f.u.
Raw total energy   -5.180 eV per atom

---

Crystalline BiRhS2 at its relaxed geometry. Source: Alexandria via LeMat-Bulk, functional PBE-GGA.

a b c (Å): 3.439 6.593 8.242
angles (deg): 81.87 78.39 75.01
Fractional coordinates of all 8 atoms:
Bi 0.000 0.000 0.000
Bi 0.433 0.515 0.612
Rh 0.145 0.536 0.151
Rh 0.676 0.129 0.498
S 0.169 0.977 0.670
S 0.226 0.210 0.311
S 0.500 0.686 0.299
S 0.782 0.433 0.975

Calculated values
Fermi-level density of states   2.0 states/eV per cell
Space-group type   No. 1
Raw formation energy   -1.20 eV/f.u.
Raw total energy   -5.172 eV per atom

---

Crystalline BiRh2S4 at its relaxed geometry. Source: Alexandria via LeMat-Bulk, functional PBE-GGA.

a b c (Å): 7.698 7.698 7.698
angles (deg): 128.35 128.35 76.07
Fractional coordinates of all 14 atoms:
Bi 0.375 0.125 0.250
Bi 0.625 0.875 0.750
Rh 0.000 0.000 0.500
Rh 0.000 0.500 0.000
Rh 0.000 0.500 0.500
Rh 0.500 0.500 0.000
S 0.027 0.127 0.310
S 0.217 0.527 0.399
S 0.318 0.717 0.190
S 0.373 0.182 0.899
S 0.627 0.818 0.101
S 0.682 0.283 0.810
S 0.783 0.473 0.601
S 0.973 0.873 0.690

Calculated values
Fermi-level density of states   11.9 states/eV per cell
Space-group type   No. 88
Raw formation energy   -1.48 eV/f.u.
Raw total energy   -5.225 eV per atom

---

Crystalline BiRhS2 at its relaxed geometry. Source: Alexandria via LeMat-Bulk, functional PBE-GGA.

a b c (Å): 5.978 5.824 12.357
angles (deg): 90.00 114.97 90.00
Fractional coordinates of all 16 atoms:
Bi 0.195 0.076 0.365
Bi 0.195 0.424 0.865
Bi 0.805 0.576 0.135
Bi 0.805 0.924 0.635
Rh 0.250 0.135 0.705
Rh 0.250 0.365 0.205
Rh 0.750 0.635 0.795
Rh 0.750 0.865 0.295
S 0.197 0.121 0.049
S 0.197 0.379 0.549
S 0.417 0.662 0.330
S 0.417 0.838 0.830
S 0.583 0.162 0.170
S 0.583 0.338 0.670
S 0.803 0.621 0.451
S 0.803 0.879 0.951

Calculated values
Fermi-level density of states   0.4 states/eV per cell
Space-group type   No. 14
Raw formation energy   -0.33 eV/f.u.
Raw total energy   -4.953 eV per atom

---

Crystalline BiRhS2 at its relaxed geometry. Source: Alexandria via LeMat-Bulk, functional PBE-GGA.

a b c (Å): 3.551 3.551 7.867
angles (deg): 90.00 90.00 120.00
Fractional coordinates of all 4 atoms:
Bi 0.000 0.000 0.000
Rh 0.667 0.333 0.492
S 0.000 0.000 0.344
S 0.333 0.667 0.652

Calculated values
Fermi-level density of states   0.9 states/eV per cell
Space-group type   No. 156
Raw formation energy   -1.33 eV/f.u.
Raw total energy   -5.204 eV per atom

---

Crystalline BiRhS2 at its relaxed geometry. Source: Alexandria via LeMat-Bulk, functional PBE-GGA.

a b c (Å): 6.934 6.934 6.934
angles (deg): 128.76 128.76 75.40
Fractional coordinates of all 8 atoms:
Bi 0.000 0.000 0.000
Bi 0.750 0.250 0.500
Rh 0.250 0.750 0.500
Rh 0.500 0.500 0.000
S 0.197 0.625 0.072
S 0.375 0.447 0.572
S 0.553 0.125 0.928
S 0.875 0.803 0.428

Calculated values
Fermi-level density of states   4.7 states/eV per cell
Space-group type   No. 122
Raw formation energy   -0.21 eV/f.u.
Raw total energy   -4.924 eV per atom

---

Crystalline BiRh3S at its relaxed geometry. Source: Alexandria via LeMat-Bulk, functional PBE-GGA.

a b c (Å): 4.489 4.489 4.489
angles (deg): 90.00 90.00 90.00
Fractional coordinates of all 5 atoms:
Bi 0.000 0.000 0.000
Rh 0.000 0.500 0.500
Rh 0.500 0.000 0.500
Rh 0.500 0.500 0.000
S 0.500 0.500 0.500

Calculated values
Fermi-level density of states   10.1 states/eV per cell
Space-group type   No. 221
Raw formation energy   0.12 eV/f.u.
Raw total energy   -5.988 eV per atom